CeSm5Pb6: relaxed, GGA-PBE.

Properties
ΔE to the lowest computed polymorph   0 meV/atom
Total DFT energy (no corrections)   -4.788 eV/atom
Energy of formation from the pure elements   -0.473 eV per atom

a = 16.167 Å, b = 9.100 Å, c = 5.063 Å
α = 90.00°, β = 108.09°, γ = 90.00°
Space group C2/m (No. 12)
Asymmetric unit:
Ce 0.000 0.000 0.000 (multiplicity 2)
Sm 0.000 0.500 0.000 (multiplicity 2)
Sm 0.167 0.000 0.667 (multiplicity 4)
Sm 0.167 0.500 0.667 (multiplicity 4)
Pb 0.000 0.251 0.500 (multiplicity 4)
Pb 0.167 0.250 0.167 (multiplicity 8)



CeSm5Pb6: relaxed, GGA-PBE.

Properties
ΔE to the lowest computed polymorph   25 meV/atom
Total DFT energy (no corrections)   -4.763 eV/atom
Energy of formation from the pure elements   -0.448 eV per atom

a = 6.261 Å, b = 15.931 Å, c = 7.727 Å
α = 90.00°, β = 103.37°, γ = 90.00°
Space group C2/m (No. 12)
Asymmetric unit:
Ce 0.000 0.000 0.000 (multiplicity 2)
Sm 0.000 0.000 0.500 (multiplicity 2)
Sm 0.000 0.331 0.000 (multiplicity 4)
Sm 0.000 0.337 0.500 (multiplicity 4)
Pb 0.000 0.168 0.254 (multiplicity 8)
Pb 0.004 0.500 0.244 (multiplicity 4)



Question: Which of these has the lowest ΔE to the lowest computed polymorph?
Answer: number 1